[1]
NdErGe2 | PBE | optimized geometry

Summary:
magnetization	0.0	Bohr magnetons per cell

abc: 4.0146 5.8678 8.0860
angles: 90.00 90.00 90.00
Last column: nearest neighbours and their distance in Å.
Space group Pmc2_1 (No. 26)
Inequivalent atoms, fractional coordinates:
Nd 0.0000 0.1324 0.0000  7 Ge 3.00-3.29
Er 0.5000 0.3691 0.6374  7 Ge 3.02-3.27
Ge 0.0000 0.3937 0.3592  2 Ge 2.68, 1 Nd 3.00
Ge 0.5000 0.1104 0.2798  2 Ge 2.68

---

[2]
Cs2NpS2Br4 | PBE | optimized geometry

Summary:
energy relative to the elements, uncorrected	-1.281	eV per atom
magnetization	2.0	Bohr magnetons per cell

abc: 13.4269 7.8186 6.6238
angles: 90.00 94.72 90.00
Last column: nearest neighbours and their distance in Å.
Space group C2/m (No. 12)
Inequivalent atoms, fractional coordinates:
Cs 0.1612 0.0000 0.2633  3 S 3.76-3.93, 8 Br 3.87-3.99
Np 0.0000 0.5000 0.5000  2 S 2.34
S 0.1382 0.5000 0.3054  1 Np 2.34
Br 0.0913 0.2482 0.7448  1 Np 2.77

---

E for every record listed, in sequence, given in eV for the cell shown: -43.78; -82.25.